{
  "formula": "La2YCd",
  "functional": "PBEsol",
  "state": "relaxed",
  "sg": "Pmmm, No. 47",
  "formation_enthalpy_0k_ev_per_atom": -0.108,
  "energy_ev_per_atom": -4.79,
  "dos_ef_per_ev_cell": 4.57,
  "lattice": [[3.6611, 0.0000, 0.0000], [0.0000, 4.6931, 0.0000], [0.0000, 0.0000, 6.9981]],
  "species": ["La", "Cd", "Y", "La"],
  "fractional_positions": [[0.0000, 0.0000, 0.2675], [0.5000, 0.5000, 0.5000], [0.5000, 0.5000, 0.0000], [0.0000, 0.0000, 0.7325]]
}



{
  "formula": "Ca2MgAu",
  "functional": "PBEsol",
  "state": "relaxed",
  "sg": "R-3m, No. 166",
  "formation_enthalpy_0k_ev_per_atom": -0.281,
  "energy_ev_per_atom": -2.76,
  "dos_ef_per_ev_cell": 1.79,
  "lattice": [[-2.8809, 1.8521, -2.0586], [-0.7520, -1.0593, -3.7789], [-7.0649, -5.6910, 0.8885]],
  "species": ["Mg", "Ca", "Ca", "Au"],
  "fractional_positions": [[0.5000, 0.5000, 0.5000], [0.7337, 0.7337, 0.7988], [0.2663, 0.2663, 0.2012], [0.0000, 0.0000, 0.0000]]
}



{
  "formula": "BaNa2Pd2",
  "functional": "PBEsol",
  "state": "relaxed",
  "sg": "I4/mmm, No. 139",
  "formation_enthalpy_0k_ev_per_atom": -0.161,
  "energy_ev_per_atom": -3.53,
  "dos_ef_per_ev_cell": 1.16,
  "lattice": [[-1.2599, -3.9250, -1.4434], [2.6228, -1.9158, 2.9201], [-5.6330, 2.8833, 3.6848]],
  "species": ["Pd", "Pd", "Na", "Ba", "Na"],
  "fractional_positions": [[0.5981, 0.5981, 0.1962], [0.4019, 0.4019, 0.8038], [0.7500, 0.2500, 0.5000], [0.0000, 0.0000, 0.0000], [0.2500, 0.7500, 0.5000]]
}



{
  "formula": "GaPS2I",
  "functional": "PBEsol",
  "state": "relaxed",
  "formation_energy_uncorrected_mev_per_atom": 976,
  "sg": "P4/mmm, No. 123",
  "energy_ev_per_atom": -2.96,
  "dos_ef_per_ev_cell": 5.25,
  "lattice": [[5.1036, 0.0000, 0.0000], [0.0000, 5.1036, 0.0000], [0.0000, 0.0000, 5.0553]],
  "species": ["S", "I", "P", "S", "Ga"],
  "fractional_positions": [[0.0000, 0.5000, 0.0000], [0.0000, 0.0000, 0.0000], [0.0000, 0.0000, 0.5000], [0.5000, 0.0000, 0.0000], [0.5000, 0.5000, 0.5000]]
}



{
  "formula": "CaBeP2",
  "functional": "PBEsol",
  "state": "relaxed",
  "sg": "Pm, No. 6",
  "formation_enthalpy_0k_ev_per_atom": -0.314,
  "energy_ev_per_atom": -4.74,
  "dos_ef_per_ev_cell": 1.36,
  "lattice": [[-2.9365, -2.8276, 0.8972], [0.0064, -1.3059, -4.0946], [2.9452, -2.7845, 0.8926]],
  "species": ["P", "Be", "Ca", "P"],
  "fractional_positions": [[0.7278, 0.5000, 0.6217], [0.8337, 0.0000, 0.6285], [0.2241, 0.5000, 0.1221], [0.7144, 0.0000, 0.1277]]
}



{
  "formula": "CdCuW",
  "functional": "PBEsol",
  "state": "relaxed",
  "sg": "F-43m, No. 216",
  "de_polymorph_mev_per_atom": 1086,
  "formation_enthalpy_0k_ev_per_atom": 1.505,
  "energy_ev_per_atom": -4.94,
  "dos_ef_per_ev_cell": 3.13,
  "lattice": [[4.3003, 0.0000, 0.0000], [2.1502, 3.7242, 0.0000], [2.1502, 1.2414, 3.5112]],
  "species": ["Cu", "Cd", "W"],
  "fractional_positions": [[0.5000, 0.5000, 0.5000], [0.0000, 0.0000, 0.0000], [0.7500, 0.7500, 0.7500]]
}



{
  "formula": "YTcIr2",
  "functional": "PBEsol",
  "state": "relaxed",
  "sg": "P4/mmm, No. 123",
  "de_polymorph_mev_per_atom": 74,
  "formation_enthalpy_0k_ev_per_atom": -0.103,
  "energy_ev_per_atom": -9.54,
  "dos_ef_per_ev_cell": 5.34,
  "lattice": [[3.8951, 0.0000, 0.0000], [0.0000, 4.0758, 0.0000], [0.0000, 0.0000, 4.0758]],
  "species": ["Y", "Ir", "Ir", "Tc"],
  "fractional_positions": [[0.5000, 0.0000, 0.0000], [0.0000, 0.5000, 0.0000], [0.0000, 0.0000, 0.5000], [0.5000, 0.5000, 0.5000]]
}



{
  "formula": "Li4Ti2Mn3Cu3O16",
  "functional": "PBEsol",
  "state": "relaxed",
  "formation_energy_uncorrected_mev_per_atom": -1772,
  "sg": "P1, No. 1",
  "energy_ev_per_atom": -7.16,
  "dos_ef_per_ev_cell": 7.11,
  "lattice": [[-2.9645, -2.0331, -4.4226], [3.3698, -3.5922, 3.0630], [-7.2373, -1.6606, 5.6125]],
  "species": ["O", "Ti", "Li", "O", "O", "O", "Li", "O", "Ti", "Mn", "O", "Mn", "O", "O", "O", "Mn", "O", "Cu", "O", "Cu", "O", "O", "Li", "O", "O", "Cu", "Li", "O"],
  "fractional_positions": [[0.3307, 0.1569, 0.4017], [0.6626, 0.3258, 0.5099], [0.3410, 0.6821, 0.6068], [0.4809, 0.9616, 0.1681], [0.9682, 0.5019, 0.6548], [0.1624, 0.3249, 0.9122], [0.0032, 0.0068, 0.5072], [0.3460, 0.6919, 0.3934], [0.3281, 0.6561, 0.0010], [0.6603, 0.8282, 0.2849], [0.4924, 0.5322, 0.1654], [0.8270, 0.6538, 0.7813], [0.9892, 0.9777, 0.6959], [0.9901, 0.9801, 0.1909], [0.1490, 0.8071, 0.9053], [0.1679, 0.8281, 0.2849], [0.5250, 0.0503, 0.6526], [0.1698, 0.3395, 0.2863], [0.8385, 0.6768, 0.3966], [0.8316, 0.1687, 0.7866], [0.5350, 0.5032, 0.6543], [0.6582, 0.8080, 0.9049], [0.9967, 0.9936, 0.0006], [0.0400, 0.5322, 0.1654], [0.6761, 0.3528, 0.8893], [0.3371, 0.1689, 0.7867], [0.6669, 0.3337, 0.1035], [0.8262, 0.1570, 0.4016]]
}



{
  "formula": "RbMnPt2Br",
  "functional": "PBEsol",
  "state": "relaxed",
  "formation_energy_uncorrected_mev_per_atom": 353,
  "sg": "P4/mmm, No. 123",
  "energy_ev_per_atom": -4.96,
  "dos_ef_per_ev_cell": 4.45,
  "lattice": [[4.7560, 0.0000, 0.0000], [0.0000, 4.7560, 0.0000], [0.0000, 0.0000, 5.1792]],
  "species": ["Pt", "Rb", "Pt", "Br", "Mn"],
  "fractional_positions": [[0.5000, 0.0000, 0.0000], [0.5000, 0.5000, 0.5000], [0.0000, 0.5000, 0.0000], [0.0000, 0.0000, 0.5000], [0.0000, 0.0000, 0.0000]]
}



{
  "formula": "TlRhBr3",
  "functional": "PBEsol",
  "state": "relaxed",
  "formation_energy_uncorrected_mev_per_atom": -360,
  "sg": "Pm-3m, No. 221",
  "energy_ev_per_atom": -3.64,
  "dos_ef_per_ev_cell": 5.55,
  "lattice": [[5.0375, 0.0000, 0.0000], [0.0000, 5.0375, 0.0000], [0.0000, 0.0000, 5.0375]],
  "species": ["Br", "Br", "Br", "Tl", "Rh"],
  "fractional_positions": [[0.5000, 0.0000, 0.0000], [0.0000, 0.5000, 0.0000], [0.0000, 0.0000, 0.5000], [0.5000, 0.5000, 0.5000], [0.0000, 0.0000, 0.0000]]
}



{
  "formula": "IrRh2Cl",
  "functional": "PBEsol",
  "state": "relaxed",
  "formation_energy_uncorrected_mev_per_atom": 750,
  "sg": "Pmmm, No. 47",
  "de_polymorph_mev_per_atom": 499,
  "energy_ev_per_atom": -6.28,
  "dos_ef_per_ev_cell": 6.71,
  "lattice": [[-2.4542, 1.0713, -0.4354], [-0.4288, -2.5183, -3.7795], [-1.9170, -3.3862, 2.4737]],
  "species": ["Ir", "Cl", "Rh", "Rh"],
  "fractional_positions": [[0.0000, 0.5000, 0.5000], [0.5000, 0.5000, 0.0000], [0.0000, 0.0000, 0.0000], [0.5000, 0.0000, 0.5000]]
}



{
  "formula": "Zn2CdCu",
  "functional": "PBEsol",
  "state": "relaxed",
  "sg": "P4/mmm, No. 123",
  "formation_enthalpy_0k_ev_per_atom": 0.014,
  "energy_ev_per_atom": -2.16,
  "dos_ef_per_ev_cell": 1.00,
  "lattice": [[-1.3012, 1.4346, -2.2009], [-2.6085, -0.4130, 1.2729], [0.7332, 5.9136, 3.4213]],
  "species": ["Zn", "Zn", "Cu", "Cd"],
  "fractional_positions": [[0.0000, 0.0000, 0.2908], [0.0000, 0.0000, 0.7092], [0.5000, 0.5000, 0.5000], [0.5000, 0.5000, 0.0000]]
}